Computed, not measured: MnRe2Br at its PBEsol-relaxed geometry at the meta-GGA SCAN level of DFT. Values from VASP.

Computed properties:
total energy: -44.265 eV/atom
relative energy among the computed polymorphs: 307 meV/atom
size of the total moment: 0.6647 μB/atom

```
&SYSTEM
  ibrav = 0, nat = 4, ntyp = 3
/
ATOMIC_SPECIES
Mn 54.94 Mn.upf
Re 186.21 Re.upf
Br 79.90 Br.upf
CELL_PARAMETERS angstrom
5.059 -1.443 0.000
5.059 1.443 0.000
-0.469 0.000 4.202
ATOMIC_POSITIONS angstrom
Mn 0.000 0.000 0.000
Re 2.565 0.000 3.291
Re 7.084 0.000 0.911
Br 4.824 0.000 2.101
```

Computed, not measured: Mn2ReBr at its PBEsol-relaxed geometry at the meta-GGA SCAN level of DFT. Values from VASP.

Computed properties:
total energy: -31.547 eV/atom
relative energy among the computed polymorphs: 0 meV/atom
size of the total moment: 1.7566 μB/atom

```
&SYSTEM
  ibrav = 0, nat = 4, ntyp = 3
/
ATOMIC_SPECIES
Mn 54.94 Mn.upf
Re 186.21 Re.upf
Br 79.90 Br.upf
CELL_PARAMETERS angstrom
2.927 0.000 0.000
0.000 2.927 0.000
0.000 0.000 7.110
ATOMIC_POSITIONS angstrom
Mn 0.000 0.000 1.578
Mn 0.000 0.000 5.533
Re 1.464 1.464 0.000
Br 1.464 1.464 3.555
```

Computed, not measured: MnRe2Br at its PBEsol-relaxed geometry at the meta-GGA SCAN level of DFT. Values from VASP.

Computed properties:
total energy: -44.160 eV/atom
relative energy among the computed polymorphs: 413 meV/atom
size of the total moment: 0.4756 μB/atom

```
&SYSTEM
  ibrav = 0, nat = 4, ntyp = 3
/
ATOMIC_SPECIES
Mn 54.94 Mn.upf
Re 186.21 Re.upf
Br 79.90 Br.upf
CELL_PARAMETERS angstrom
2.983 0.000 0.000
0.000 2.983 0.000
0.000 0.000 6.505
ATOMIC_POSITIONS angstrom
Mn 0.000 0.000 0.000
Re 1.492 1.492 1.409
Re 1.492 1.492 5.096
Br 0.000 0.000 3.253
```

Computed, not measured: Mn2ReBr at its PBEsol-relaxed geometry at the meta-GGA SCAN level of DFT. Values from VASP.

Computed properties:
total energy: -30.665 eV/atom
relative energy among the computed polymorphs: 882 meV/atom
size of the total moment: 1.2542 μB/atom

```
&SYSTEM
  ibrav = 0, nat = 4, ntyp = 3
/
ATOMIC_SPECIES
Mn 54.94 Mn.upf
Re 186.21 Re.upf
Br 79.90 Br.upf
CELL_PARAMETERS angstrom
0.000 3.018 3.018
3.018 0.000 3.018
3.018 3.018 0.000
ATOMIC_POSITIONS angstrom
Mn 1.509 1.509 1.509
Mn 4.527 4.527 4.527
Re 0.000 0.000 0.000
Br 3.018 3.018 3.018
```

Computed, not measured: Mn2ReSnBr at its PBEsol-relaxed geometry at the meta-GGA SCAN level of DFT. Values from VASP.

Computed properties:
total energy: -30.900 eV/atom
size of the total moment: 2.8081 μB/atom

```
&SYSTEM
  ibrav = 0, nat = 5, ntyp = 4
/
ATOMIC_SPECIES
Mn 54.94 Mn.upf
Re 186.21 Re.upf
Sn 118.71 Sn.upf
Br 79.90 Br.upf
CELL_PARAMETERS angstrom
5.117 0.000 0.000
0.000 5.117 0.000
0.000 0.000 5.572
ATOMIC_POSITIONS angstrom
Mn 0.000 2.558 0.000
Mn 2.558 0.000 0.000
Re 0.000 0.000 2.786
Sn 2.558 2.558 0.000
Br 2.558 2.558 2.786
```

Computed, not measured: MnRhBr at its PBEsol-relaxed geometry at the meta-GGA SCAN level of DFT. Values from VASP.

Computed properties:
total energy: -23.897 eV/atom
relative energy among the computed polymorphs: 0 meV/atom
size of the total moment: 1.3176 μB/atom

```
&SYSTEM
  ibrav = 0, nat = 3, ntyp = 3
/
ATOMIC_SPECIES
Mn 54.94 Mn.upf
Rh 102.91 Rh.upf
Br 79.90 Br.upf
CELL_PARAMETERS angstrom
3.183 0.000 0.000
-1.592 2.757 0.000
0.000 0.000 5.695
ATOMIC_POSITIONS angstrom
Mn 0.000 0.000 0.000
Rh 0.000 1.838 4.082
Br 1.592 0.919 1.840
```

Computed, not measured: MnRhBr at its PBEsol-relaxed geometry at the meta-GGA SCAN level of DFT. Values from VASP.

Computed properties:
total energy: -23.024 eV/atom
relative energy among the computed polymorphs: 873 meV/atom
size of the total moment: 0.0004 μB/atom

```
&SYSTEM
  ibrav = 0, nat = 3, ntyp = 3
/
ATOMIC_SPECIES
Mn 54.94 Mn.upf
Rh 102.91 Rh.upf
Br 79.90 Br.upf
CELL_PARAMETERS angstrom
0.000 2.851 2.851
2.851 0.000 2.851
2.851 2.851 0.000
ATOMIC_POSITIONS angstrom
Mn 0.000 0.000 0.000
Rh 1.425 1.425 1.425
Br 4.276 4.276 4.276
```

Computed, not measured: MnRuBr at its PBEsol-relaxed geometry at the meta-GGA SCAN level of DFT. Values from VASP.

Computed properties:
total energy: -23.929 eV/atom
relative energy among the computed polymorphs: 0 meV/atom
size of the total moment: 1.1581 μB/atom

```
&SYSTEM
  ibrav = 0, nat = 3, ntyp = 3
/
ATOMIC_SPECIES
Mn 54.94 Mn.upf
Ru 101.07 Ru.upf
Br 79.90 Br.upf
CELL_PARAMETERS angstrom
3.082 0.000 0.000
-1.541 2.669 0.000
0.000 0.000 5.811
ATOMIC_POSITIONS angstrom
Mn 0.000 0.000 0.000
Ru 0.000 1.779 4.140
Br 1.541 0.890 1.894
```